No. 1
First-principles (PBE-GGA) data for an optimized crystal structure of Pm5Nd12Tl2, as listed in the Alexandria database.

The space group is C2/m (12). The formation energy comes out at 0.002 eV/atom.

Lattice parameters (Å, degrees): 9.196 9.196 8.705 92.89 92.89 62.26
Sites, in units of the cell vectors:
Pm1 0.000 0.000 0.000
Pm2 0.233 0.233 0.084
Pm3 0.314 0.314 0.494
Pm4 0.686 0.686 0.506
Pm5 0.767 0.767 0.916
Nd1 0.036 0.668 0.264
Nd2 0.081 0.081 0.384
Nd3 0.183 0.569 0.839
Nd4 0.332 0.964 0.736
Nd5 0.431 0.817 0.161
Nd6 0.444 0.444 0.182
Nd7 0.556 0.556 0.818
Nd8 0.569 0.183 0.839
Nd9 0.668 0.036 0.264
Nd10 0.817 0.431 0.161
Nd11 0.919 0.919 0.616
Nd12 0.964 0.332 0.736
Tl1 0.316 0.684 0.500
Tl2 0.684 0.316 0.500

No. 2
First-principles (PBE-GGA) data for an optimized crystal structure of Be2AsAu, as listed in the Alexandria database.

The space group is I-4m2 (119). The formation energy comes out at 0.292 eV/atom.

Lattice parameters (Å, degrees): 5.408 5.408 5.408 142.95 142.95 53.40
Sites, in units of the cell vectors:
Be1 0.000 0.000 0.000
Be2 0.750 0.250 0.500
As1 0.250 0.750 0.500
Au1 0.500 0.500 0.000